# La2Sc PBE-GGA relaxed
# relative energy among the computed polymorphs: 0.5464 eV per atom
# formation enthalpy at 0 K: 0.60 eV per atom
data_La2Sc
_chemical_formula_sum 'La8 Sc4'
_symmetry_space_group_name_H-M 'F m -3 m'
_symmetry_Int_Tables_number 225
_symmetry_space_group_name_Hall '-F 4 2 3'
_cell_length_a 7.686
_cell_length_b 7.686
_cell_length_c 7.686
_cell_angle_alpha 90.00
_cell_angle_beta 90.00
_cell_angle_gamma 90.00
loop_
_atom_site_label
_atom_site_fract_x
_atom_site_fract_y
_atom_site_fract_z
_atom_site_occupancy
La1 0.250 0.250 0.250 1
Sc1 0.000 0.000 0.000 1

---

# NdTc6 PBE-GGA relaxed
# relative energy among the computed polymorphs: 0.0000 eV per atom
# formation enthalpy at 0 K: 0.09 eV per atom
data_NdTc6
_chemical_formula_sum 'Nd4 Tc24'
_symmetry_space_group_name_H-M 'P n m a'
_symmetry_Int_Tables_number 62
_symmetry_space_group_name_Hall '-P 2ac 2n'
_cell_length_a 8.565
_cell_length_b 5.210
_cell_length_c 10.743
_cell_angle_alpha 90.00
_cell_angle_beta 90.00
_cell_angle_gamma 90.00
loop_
_atom_site_label
_atom_site_fract_x
_atom_site_fract_y
_atom_site_fract_z
_atom_site_occupancy
Nd1 0.233 0.250 0.055 1
Tc1 0.068 0.009 0.305 1
Tc2 0.079 0.750 0.079 1
Tc3 0.081 0.250 0.523 1
Tc4 0.143 0.750 0.851 1
Tc5 0.187 0.250 0.758 1

---

# Th2TlTe3 PBE-GGA relaxed
# raw total energy: -32.34 eV per cell
data_Th2TlTe3
_chemical_formula_sum 'Th2 Tl1 Te3'
_symmetry_space_group_name_H-M 'P 4/m m m'
_symmetry_Int_Tables_number 123
_symmetry_space_group_name_Hall '-P 4 2'
_cell_length_a 3.887
_cell_length_b 3.887
_cell_length_c 12.220
_cell_angle_alpha 90.00
_cell_angle_beta 90.00
_cell_angle_gamma 90.00
loop_
_atom_site_label
_atom_site_fract_x
_atom_site_fract_y
_atom_site_fract_z
_atom_site_occupancy
Th1 0.000 0.000 0.162 1
Tl1 0.000 0.000 0.500 1
Te1 0.500 0.500 0.000 1
Te2 0.500 0.500 0.305 1